Compound: BaBO3
Source: Alexandria via LeMat-Bulk
Functional: PBE
Structure: relaxed

For the total energy, the calculation gives -0.1384 Ha/atom. The crystal system is cubic. Its uncorrected formation energy is 448 kJ/mol of formula units. For the density, the calculation gives 3.65 g/cm³.

It has space group Pm-3m (No. 221), with a = 4.468 Å, b = 4.468 Å, c = 4.468 Å, α = 90.00°, β = 90.00° and γ = 90.00°. The distinct sites, in fractional coordinates, are Ba at (0.000, 0.000, 0.000), B at (0.500, 0.500, 0.500) and O at (0.000, 0.000, 0.500).